(1)
Entry from the Alexandria database: a relaxed Ce2Ge3Pd4Au crystal (PBE-GGA).

Geometry as POSCAR:
```
Ce2Ge3Pd4Au
1.0
-2.3249 -1.5838 3.0398
0.4911 -3.7891 -1.5986
9.2910 -1.4706 6.3398
Ce Ge Pd Au
2 3 4 1
direct
0.5000 0.0000 0.2512 Ce
0.0000 0.5000 0.7488 Ce
0.0000 0.0000 0.5000 Ge
0.5000 0.0000 0.8738 Ge
0.0000 0.5000 0.1262 Ge
0.5000 0.5000 0.0000 Pd
0.0000 0.0000 0.0000 Pd
0.5000 0.0000 0.6581 Pd
0.0000 0.5000 0.3419 Pd
0.5000 0.5000 0.5000 Au
```

Space group: No. 115
Formation enthalpy at 0 K: -0.703 eV/atom

(2)
Entry from the Alexandria database: a relaxed SrZrNb3 crystal (PBE-GGA).

Geometry as POSCAR:
```
SrZrNb3
1.0
-4.4938 -2.2734 0.8084
1.8319 -2.1023 4.2709
-1.5704 4.0532 2.6687
Sr Nb Zr
1 3 1
direct
0.5000 0.5000 0.5000 Sr
0.0000 0.5000 0.0000 Nb
0.0000 0.0000 0.5000 Nb
0.5000 0.0000 0.0000 Nb
0.0000 0.0000 0.0000 Zr
```

Space group: No. 221
Energy above the lowest structure with this stoichiometry: 0.0 meV/atom
Formation enthalpy at 0 K: 1.330 eV/atom

(3)
Entry from the Alexandria database: a relaxed BeSnSe crystal (PBE-GGA).

Geometry as POSCAR:
```
BeSnSe
1.0
-3.4828 0.1410 0.7939
-1.4464 -2.4650 2.1472
1.3295 3.3472 5.1067
Be Sn Se
1 1 1
direct
0.8953 0.1178 0.3463 Be
0.2392 0.4322 0.6851 Sn
0.2223 0.4615 0.2195 Se
```

Space group: No. 1
Energy above the lowest structure with this stoichiometry: 123.8 meV/atom
Formation energy (no corrections): -23.2 kJ per mole of atoms

(4)
Entry from the Alexandria database: a relaxed PrNdEuCd crystal (PBE-GGA).

Geometry as POSCAR:
```
PrNdEuCd
1.0
-1.2453 1.7876 5.2216
3.8469 -0.4224 4.1274
2.4641 4.6588 2.0581
Eu Pr Nd Cd
1 1 1 1
direct
0.5000 0.5000 0.5000 Eu
0.7500 0.7500 0.7500 Pr
0.2500 0.2500 0.2500 Nd
0.0000 0.0000 0.0000 Cd
```

Space group: No. 216
Formation enthalpy at 0 K: -0.047 eV/atom

(5)
Entry from the Alexandria database: a relaxed MnCrBPdAu crystal (PBE-GGA).

Geometry as POSCAR:
```
MnCrBPdAu
1.0
2.9043 0.0000 0.0000
-1.4521 2.5152 0.0000
0.0000 0.0000 8.9245
Cr B Mn Au Pd
1 1 1 1 1
direct
0.0000 0.0000 0.9700 Cr
0.3333 0.6667 0.0959 B
0.6667 0.3333 0.2243 Mn
0.3333 0.6667 0.7244 Au
0.0000 0.0000 0.4567 Pd
```

Space group: No. 156
Energy above the lowest structure with this stoichiometry: 3.1 meV/atom
Formation enthalpy at 0 K: 0.012 eV/atom

(6)
Entry from the Alexandria database: a relaxed MgScPb3 crystal (PBE-GGA).

Geometry as POSCAR:
```
MgScPb3
1.0
-2.4704 -5.9193 5.6661
0.4855 -5.6386 -5.6800
7.6425 -1.1382 2.1421
Mg Sc Pb
4 4 12
direct
0.2500 0.8760 0.1240 Mg
0.7500 0.1240 0.8760 Mg
0.2500 0.3761 0.6239 Mg
0.7500 0.6239 0.3761 Mg
0.8575 0.7163 0.7837 Sc
0.6425 0.2163 0.2837 Sc
0.1425 0.2837 0.2163 Sc
0.3575 0.7837 0.7163 Sc
0.5881 0.8076 0.0347 Pb
0.9119 0.9652 0.1924 Pb
0.4119 0.1924 0.9653 Pb
0.0881 0.0348 0.8076 Pb
0.8233 0.4493 0.0508 Pb
0.6767 0.9492 0.5507 Pb
0.1767 0.5507 0.9492 Pb
0.3233 0.0508 0.4493 Pb
0.5882 0.4653 0.6925 Pb
0.9118 0.3075 0.5347 Pb
0.4118 0.5347 0.3075 Pb
0.0882 0.6925 0.4653 Pb
```

Space group: No. 64
Energy above the lowest structure with this stoichiometry: 77.9 meV/atom
Formation enthalpy at 0 K: -0.064 eV/atom

(7)
Entry from the Alexandria database: a relaxed NaLuSnPd crystal (PBE-GGA).

Geometry as POSCAR:
```
NaLuSnPd
1.0
-4.9393 0.1234 -0.7525
-2.2331 -3.6784 -2.5416
-2.9721 -3.2362 2.3814
Na Lu Sn Pd
1 1 1 1
direct
0.5000 0.5000 0.5000 Na
0.0000 0.0000 0.0000 Lu
0.2500 0.2500 0.2500 Sn
0.7500 0.7500 0.7500 Pd
```

Space group: No. 216
Formation enthalpy at 0 K: -0.417 eV/atom

(8)
Entry from the Alexandria database: a relaxed DyTmNiSn crystal (PBE-GGA).

Geometry as POSCAR:
```
DyTmNiSn
1.0
5.0579 0.0000 0.0000
2.5289 4.3803 0.0000
2.5289 1.4601 4.1298
Ni Tm Sn Dy
1 1 1 1
direct
0.7500 0.7500 0.7500 Ni
0.5000 0.5000 0.5000 Tm
0.2500 0.2500 0.2500 Sn
0.0000 0.0000 0.0000 Dy
```

Space group: No. 216
Formation enthalpy at 0 K: -0.447 eV/atom

(9)
Entry from the Alexandria database: a relaxed In2SiAs crystal (PBE-GGA).

Geometry as POSCAR:
```
In2SiAs
1.0
-0.5512 3.1486 -1.2348
-2.1899 -1.2857 -2.3007
-5.9031 0.9597 5.0825
As In Si
1 2 1
direct
0.5000 0.5000 0.6817 As
0.0000 0.0000 0.9729 In
0.5000 0.5000 0.2881 In
0.0000 0.0000 0.5573 Si
```

Space group: No. 99
Energy above the lowest structure with this stoichiometry: 44.7 meV/atom
Formation energy (no corrections): 17.5 kJ per mole of atoms

(10)
Entry from the Alexandria database: a relaxed TiCdRu3 crystal (PBE-GGA).

Geometry as POSCAR:
```
TiCdRu3
1.0
-4.4565 0.2268 1.5990
0.6530 -4.0392 2.3930
1.4770 2.4701 3.7663
Ru Ti Cd
3 1 1
direct
0.0000 0.5000 0.0000 Ru
0.0000 0.0000 0.5000 Ru
0.5000 0.0000 0.0000 Ru
0.5000 0.5000 0.5000 Ti
0.0000 0.0000 0.0000 Cd
```

Space group: No. 221
Energy above the lowest structure with this stoichiometry: 1136.8 meV/atom
Formation enthalpy at 0 K: 2.119 eV/atom

(11)
Entry from the Alexandria database: a relaxed PrNd2SmY crystal (PBE-GGA).

Geometry as POSCAR:
```
PrNd2SmY
1.0
6.7859 0.0000 0.0000
0.0000 8.1912 1.3654
0.0000 -1.1431 6.2035
Pr Nd Sm Y
2 4 2 2
direct
0.0000 0.0000 0.0000 Pr
0.0000 0.0000 0.5000 Pr
0.6920 0.6935 0.7560 Nd
0.6920 0.3065 0.7440 Nd
0.3080 0.6935 0.2560 Nd
0.3080 0.3065 0.2440 Nd
0.5753 0.0000 0.2500 Sm
0.4247 0.0000 0.7500 Sm
0.1595 0.5000 0.7500 Y
0.8405 0.5000 0.2500 Y
```

Space group: No. 13
Formation enthalpy at 0 K: 0.253 eV/atom

(12)
Entry from the Alexandria database: a relaxed Zn2CoMo crystal (PBE-GGA).

Geometry as POSCAR:
```
Zn2CoMo
1.0
0.0000 3.0087 3.0087
3.0087 0.0000 3.0087
3.0087 3.0087 0.0000
Mo Co Zn
1 1 2
direct
0.5000 0.5000 0.5000 Mo
0.0000 0.0000 0.0000 Co
0.2500 0.2500 0.2500 Zn
0.7500 0.7500 0.7500 Zn
```

Space group: No. 225
Energy above the lowest structure with this stoichiometry: 298.8 meV/atom
Formation enthalpy at 0 K: 0.297 eV/atom

Sequential M_tot output: 0.169 0.000 0.000 1.795 0.578 0.000 0.000 0.000 0.000 0.000 0.000 0.443 μB/atom
Sequential DOS at the Fermi energy output: 14.91 9.49 0.58 3.99 4.39 14.08 1.46 1.57 1.20 9.93 12.97 3.88 states/eV per cell